1.
CuIrRh2 (PBE, relaxed); ΔE_f = 0.0687 eV per atom; E above lowest polymorph = 48 meV/atom; DOS(E_F) = 4.28 states/eV per cell
1.0
2.721 0.000 0.000
0.000 3.781 0.000
0.000 0.000 5.383
Ir Rh Cu
1 2 1
direct
0.500 0.500 0.749
0.000 0.000 0.996
0.500 0.500 0.256
0.000 0.000 0.499


2.
CuIr6Rh8 (PBE, relaxed); ΔE_f = 0.2937 eV per atom; DOS(E_F) = 23.91 states/eV per cell
1.0
2.715 0.000 0.000
0.000 9.904 0.000
0.000 -4.952 8.577
Cu Ir Rh
1 6 8
direct
0.500 0.000 0.000
0.749 0.535 0.623
0.749 0.377 0.911
0.749 0.089 0.465
0.251 0.465 0.377
0.251 0.623 0.089
0.251 0.911 0.535
0.756 0.720 0.923
0.756 0.077 0.797
0.756 0.203 0.280
0.244 0.280 0.077
0.244 0.923 0.203
0.244 0.797 0.720
0.753 0.667 0.333
0.247 0.333 0.667


3.
CuIr2Rh (PBE, relaxed); ΔE_f = 0.7062 eV per atom; E above lowest polymorph = 663 meV/atom; DOS(E_F) = 10.97 states/eV per cell
1.0
6.830 0.000 0.000
0.000 6.830 0.000
3.415 3.415 2.627
Ir Rh Cu
4 2 2
direct
0.619 0.125 0.250
0.131 0.625 0.250
0.375 0.381 0.750
0.875 0.869 0.750
0.000 0.000 0.000
0.750 0.250 0.500
0.500 0.500 0.000
0.250 0.750 0.500


4.
CuIrRh2 (PBE, relaxed); ΔE_f = 0.0679 eV per atom; E above lowest polymorph = 47 meV/atom; DOS(E_F) = 5.41 states/eV per cell
1.0
8.797 -0.012 -0.007
8.378 2.681 -0.007
8.378 1.302 2.343
Ir Rh Cu
1 2 1
direct
0.751 0.751 0.751
0.000 0.000 0.000
0.249 0.249 0.249
0.500 0.500 0.500


5.
CuIrRh2 (PBE, relaxed); ΔE_f = 0.1097 eV per atom; E above lowest polymorph = 89 meV/atom; DOS(E_F) = 11.62 states/eV per cell
1.0
2.699 0.000 0.000
-1.350 5.023 0.000
0.000 0.000 8.157
Cu Ir Rh
2 2 4
direct
0.246 0.492 0.250
0.754 0.508 0.750
0.981 0.963 0.250
0.019 0.037 0.750
0.628 0.256 0.017
0.372 0.744 0.983
0.372 0.744 0.517
0.628 0.256 0.483


6.
CuIr4Rh5 (PBE, relaxed); ΔE_f = 0.0082 eV per atom; DOS(E_F) = 12.00 states/eV per cell
1.0
2.732 0.000 0.000
0.000 2.732 0.000
0.000 0.000 18.983
Cu Ir Rh
1 4 5
direct
0.000 0.000 0.000
0.000 0.000 0.194
0.000 0.000 0.399
0.000 0.000 0.601
0.000 0.000 0.806
0.500 0.500 0.096
0.500 0.500 0.297
0.500 0.500 0.500
0.500 0.500 0.703
0.500 0.500 0.904


7.
Cu2IrRh (PBE, relaxed); ΔE_f = 0.1113 eV per atom; E above lowest polymorph = 63 meV/atom; DOS(E_F) = 4.70 states/eV per cell
1.0
-4.288 -0.331 -1.642
-0.408 -3.884 -2.437
1.606 0.807 4.238
Cu Ir Rh
2 1 1
direct
0.000 0.000 0.000
0.250 0.750 0.500
0.500 0.500 0.000
0.750 0.250 0.500


8.
Cu2IrRh (PBE, relaxed); ΔE_f = 0.0855 eV per atom; E above lowest polymorph = 37 meV/atom; DOS(E_F) = 4.99 states/eV per cell
1.0
3.761 0.000 0.000
0.000 2.711 0.021
0.000 2.680 5.296
Ir Rh Cu
1 1 2
direct
0.000 0.491 0.509
0.500 0.760 0.740
0.000 0.986 0.013
0.500 0.262 0.238


9.
CuIr2Rh (PBE, relaxed); ΔE_f = 0.0489 eV per atom; E above lowest polymorph = 6 meV/atom; DOS(E_F) = 4.20 states/eV per cell
1.0
3.797 0.000 0.000
0.000 2.725 -0.006
0.000 2.735 5.376
Ir Rh Cu
2 1 1
direct
0.000 0.000 0.000
0.500 0.254 0.246
0.000 0.494 0.506
0.500 0.752 0.748


10.
CuIrRh2 (PBE, relaxed); ΔE_f = 0.1230 eV per atom; E above lowest polymorph = 102 meV/atom; DOS(E_F) = 5.30 states/eV per cell
1.0
-2.000 3.495 0.899
0.543 -0.363 2.621
4.553 2.401 0.792
Cu Ir Rh
1 1 2
direct
0.000 0.692 0.481
0.500 0.558 0.763
0.000 0.952 0.975
0.500 0.298 0.281


11.
Cu2IrRh (PBE, relaxed); ΔE_f = 0.1931 eV per atom; E above lowest polymorph = 144 meV/atom; DOS(E_F) = 5.38 states/eV per cell
1.0
-1.273 -1.910 -1.346
2.597 0.382 -0.439
1.936 -5.802 6.401
Cu Ir Rh
2 1 1
direct
0.000 0.000 0.007
0.500 0.500 0.242
0.000 0.000 0.495
0.500 0.500 0.756


12.
CuIrRh (PBE, relaxed); ΔE_f = 0.2121 eV per atom; E above lowest polymorph = 200 meV/atom; DOS(E_F) = 4.43 states/eV per cell
1.0
-5.806 -1.669 -3.792
-5.063 -3.914 -2.519
-2.003 1.488 0.991
Cu Ir Rh
1 1 1
direct
0.000 0.000 0.000
0.335 0.335 0.665
0.665 0.665 0.335